# P2OsPt

P2OsPt after structural relaxation (PBE-GGA, Alexandria).

Results
formation energy from the elements = 0.360 eV per atom
total magnetic moment = 0.00 μB/f.u.
space-group type = Cmm2, No. 35
DFT total energy = -6.6625 eV per atom
mass density = 11.14 g cm⁻³

Lattice parameters (Å, degrees): 2.7872 2.7872 9.7380 90.00 90.00 118.21
Closest atoms and distances in Å follow each position.
Element x y z (fractional)
P 0.5000 0.5000 0.7028  2 Pt 2.44
Pt 0.0000 0.0000 0.5001  2 P 2.44
Os 0.5000 0.5000 0.2426  2 P 2.32
P 0.0000 0.0000 0.0545  2 Os 2.32